# NdTaCo2

Crystalline NdTaCo2 at its relaxed geometry (PBE, the Alexandria database).

Geometry as extended XYZ:
```
4
Lattice="-1.521 -2.597 0.785 -0.327 -0.717 -3.009 6.145 -3.546 0.177" Properties=species:S:1:pos:R:3 pbc="T T T"
Co 4.981 -2.874 0.144
Co 1.164 -0.672 0.034
Ta -0.924 -1.657 -1.112
Nd 2.148 -3.430 -1.023
```

Values from the calculation:
- E_form (eV/atom) = -0.0688
- VASP energy (eV/atom) = -7.777
- M_tot (μB/f.u.) = 0.0

***

# RbGaIN2

Crystalline RbGaIN2 at its relaxed geometry (PBE, the Alexandria database).

Geometry as extended XYZ:
```
5
Lattice="4.501 0.000 0.000 0.000 4.501 0.000 0.000 0.000 5.852" Properties=species:S:1:pos:R:3 pbc="T T T"
Ga 0.000 0.000 0.000
I 0.000 0.000 2.926
Rb 2.250 2.250 2.926
N 0.000 2.250 0.000
N 2.250 0.000 0.000
```

Values from the calculation:
- VASP energy (eV/atom) = -3.515
- E_form (uncorrected) (eV/atom) = 0.92
- M_tot (μB/f.u.) = 3.1
- offset from the most stable computed form (meV/atom) = 0.0